The following is a DFT calculation (PBE) of TlCdInAg after structural relaxation.

Cell: 4.688 4.603 9.019 Å, 90.00 94.60 90.00°
Positions (direct):
1 Tl 0.000 0.000 0.000
2 Tl 0.500 0.500 0.000
3 Cd 0.016 0.500 0.277
4 Cd 0.516 0.000 0.277
5 In 0.063 0.500 0.699
6 In 0.563 0.000 0.699
7 Ag 0.045 0.000 0.480
8 Ag 0.545 0.500 0.480

Values from the calculation:
Its total moment is 0.0000 μB/atom. The calculation puts the formation energy at 0.030 eV/atom. As for the total energy: -17.505 eV per cell. The density of states at the Fermi level is 3.48 states/eV/cell.